(1)
# BaBe2Sb PBE-GGA optimized geometry
data_BaBe2Sb
_space_group_name_H-M_alt 'P 1'
_space_group_IT_number 1
_cell_length_a 4.142
_cell_length_b 4.142
_cell_length_c 6.493
_cell_angle_alpha 109.29
_cell_angle_beta 109.29
_cell_angle_gamma 71.29
loop_
_space_group_symop_operation_xyz
'x,y,z'
loop_
_atom_site_label
_atom_site_type_symbol
_atom_site_fract_x
_atom_site_fract_y
_atom_site_fract_z
Ba1 Ba 0.000 0.000 0.000
Be1 Be 0.178 0.178 0.600
Be2 Be 0.822 0.822 0.400
Sb1 Sb 0.500 0.500 0.500
# Total magnetic moment (μB per formula unit): 0.000
# Space-group type: No. 12
# DFT total energy (eV per cell): -12.83
# Formation energy without anion corrections (eV/atom): 0.17
# Density of states at the Fermi level (states/eV per atom): 0.655

***

(2)
# Pr3NdEr2Te6 PBE-GGA optimized geometry
data_Pr3NdEr2Te6
_space_group_name_H-M_alt 'P 1'
_space_group_IT_number 1
_cell_length_a 10.008
_cell_length_b 10.008
_cell_length_c 9.020
_cell_angle_alpha 103.95
_cell_angle_beta 103.95
_cell_angle_gamma 25.42
loop_
_space_group_symop_operation_xyz
'x,y,z'
loop_
_atom_site_label
_atom_site_type_symbol
_atom_site_fract_x
_atom_site_fract_y
_atom_site_fract_z
Pr1 Pr 0.000 0.000 0.000
Pr2 Pr 0.340 0.340 0.669
Pr3 Pr 0.660 0.660 0.331
Nd1 Nd 0.000 0.000 0.500
Er1 Er 0.335 0.335 0.171
Er2 Er 0.665 0.665 0.829
Te1 Te 0.169 0.169 0.596
Te2 Te 0.172 0.172 0.073
Te3 Te 0.494 0.494 0.248
Te4 Te 0.506 0.506 0.752
Te5 Te 0.828 0.828 0.927
Te6 Te 0.831 0.831 0.404
# Total magnetic moment (μB per formula unit): 0.000
# Space-group type: No. 12
# DFT total energy (eV per cell): -63.47
# Formation energy without anion corrections (eV/atom): -1.37
# Density of states at the Fermi level (states/eV per atom): 0.548

***

(3)
# CdPIO2 PBE-GGA optimized geometry
data_CdPIO2
_space_group_name_H-M_alt 'P 1'
_space_group_IT_number 1
_cell_length_a 4.023
_cell_length_b 4.023
_cell_length_c 5.552
_cell_angle_alpha 90.00
_cell_angle_beta 90.00
_cell_angle_gamma 90.00
loop_
_space_group_symop_operation_xyz
'x,y,z'
loop_
_atom_site_label
_atom_site_type_symbol
_atom_site_fract_x
_atom_site_fract_y
_atom_site_fract_z
Cd1 Cd 0.000 0.000 0.000
P1 P 0.500 0.500 0.000
I1 I 0.500 0.500 0.500
O1 O 0.000 0.500 0.500
O2 O 0.500 0.000 0.500
# Total magnetic moment (μB per formula unit): 0.000
# Space-group type: No. 123
# DFT total energy (eV per cell): -17.12
# Formation energy without anion corrections (eV/atom): 0.13
# Polymorph energy (0 for the lowest one) (meV per atom): 249
# Density of states at the Fermi level (states/eV per atom): 0.142